Entry 1:
A plane-wave DFT calculation with PBE-GGA was carried out for crystalline Cu3P at its relaxed geometry.

Cell lengths 8.389, 2.672, 4.461 Å; angles 90.00, 99.38, 90.00 degrees
Space group C2/m (No. 12)
Symmetry-distinct sites (fractional):
Cu 0.000 0.000 0.000 x2
Cu 0.247 0.000 0.747 x4
P 0.000 0.500 0.500 x2

DOS(E_F) (states/eV per cell): 2.55
M_tot (μB/f.u.): 0.000
Total DFT energy (no corrections) (eV per atom): -4.33
ΔE_f (eV/atom): 0.096

***

Entry 2:
A plane-wave DFT calculation with PBE-GGA was carried out for crystalline Be4Si23 at its relaxed geometry.

Cell lengths 10.168, 10.168, 10.168 Å; angles 90.00, 90.00, 90.00 degrees
Space group Pm-3n (No. 223)
Symmetry-distinct sites (fractional):
Be 0.000 0.000 0.000 x2
Be 0.000 0.250 0.500 x6
Si 0.000 0.309 0.116 x24
Si 0.000 0.500 0.250 x6
Si 0.183 0.183 0.183 x16

Formation energy from raw total energies (eV/atom): 0.460
DOS(E_F) (states/eV per cell): 9.70
M_tot (μB/f.u.): 0.000
Total DFT energy (no corrections) (eV per atom): -4.71

***

Entry 3:
A plane-wave DFT calculation with PBE-GGA was carried out for crystalline AlZn2I8 at its relaxed geometry.

Cell lengths 15.950, 7.853, 7.010 Å; angles 90.00, 91.69, 90.00 degrees
Space group C2/m (No. 12)
Symmetry-distinct sites (fractional):
Al 0.000 0.000 0.000 x2
Zn 0.159 0.000 0.614 x4
I 0.070 0.245 0.776 x8
I 0.154 0.000 0.233 x4
I 0.183 0.500 0.294 x4

Formation energy from raw total energies (eV/atom): -0.445
DOS(E_F) (states/eV per cell): 12.07
M_tot (μB/f.u.): 0.000
Total DFT energy (no corrections) (eV per atom): -2.14

***

Look up the DOS(E_F) of the first one. 2.55 states/eV per cell